This record from Alexandria describes a relaxed Pr2Be7Pt12 crystal. The functional is PBE-GGA.

## Properties
Total magnetic moment ... 0.0 μB per cell
Symmetry ... P-6 (174)
Raw total energy ... -0.2173 Ha/atom

Lattice parameters (Å, degrees): 9.5943 9.5943 3.8585 90.00 90.00 120.00
Last column: nearest neighbours and their distance in Å.
Fractional positions:
1 Pr 0.0000 0.0000 0.0000  12 Pt 3.11-3.43, 6 Be 3.13
2 Pr 0.3333 0.6667 0.5000  9 Pt 3.07-3.35, 6 Be 3.09
3 Be 0.0614 0.6205 0.0000  5 Pt 2.26-2.46
4 Be 0.2763 0.0441 0.5000  7 Pt 2.28-2.51
5 Be 0.3795 0.4409 0.0000  5 Pt 2.26-2.46
6 Be 0.5591 0.9386 0.0000  5 Pt 2.26-2.46
7 Be 0.6667 0.3333 0.0000  3 Pt 2.26
8 Be 0.7679 0.7237 0.5000  7 Pt 2.28-2.51
9 Be 0.9559 0.2321 0.5000  7 Pt 2.28-2.51
10 Pt 0.0516 0.7751 0.5000  4 Be 2.40-2.51
11 Pt 0.1078 0.3987 0.0000  4 Be 2.38-2.46
12 Pt 0.2249 0.2765 0.5000  4 Be 2.40-2.51
13 Pt 0.2910 0.8922 0.0000  4 Be 2.38-2.46
14 Pt 0.3952 0.2137 0.0000  4 Be 2.26-2.41
15 Pt 0.5369 0.0989 0.5000  3 Be 2.28-2.54
16 Pt 0.5619 0.4631 0.5000  3 Be 2.28-2.54
17 Pt 0.6013 0.7090 0.0000  4 Be 2.38-2.46
18 Pt 0.7235 0.9484 0.5000  4 Be 2.40-2.51
19 Pt 0.7863 0.1815 0.0000  4 Be 2.26-2.41
20 Pt 0.8185 0.6048 0.0000  4 Be 2.26-2.41
21 Pt 0.9011 0.4381 0.5000  3 Be 2.28-2.54